(1)
Compound: ZnCdAsO4
Source: the Alexandria database
Functional: PBE
Structure: relaxed

Properties
Mass density: 5.93 Mg/m³
M_tot: 0.000 μB per atom
Uncorrected formation energy: -1.07 eV/atom

Lattice parameters (Å, degrees): 6.2124 6.4099 8.9117 90.00 90.00 90.00
With the nearest neighbours (Å) after each atom.
Space group Imma (No. 74)
Inequivalent atoms, fractional coordinates:
Zn 0.2500 0.2500 0.2500 x4  6 O 2.11-2.36
Cd 0.0000 0.0000 0.0000 x4  6 O 2.29-2.34
As 0.0000 0.2500 0.6381 x4  2 O 1.78
O 0.0000 0.0273 0.2564 x8  1 As 2.01, 2 Zn 2.11
O 0.2260 0.2500 0.5144 x8  1 As 1.78

=====

(2)
Compound: ZrCdAsO5
Source: the Alexandria database
Functional: PBE
Structure: relaxed

Properties
Mass density: 4.91 Mg/m³
M_tot: 0.000 μB per atom
Uncorrected formation energy: -1.83 eV/atom

Lattice parameters (Å, degrees): 7.8370 8.7799 8.0596 90.00 119.09 90.00
With the nearest neighbours (Å) after each atom.
Space group C2/c (No. 15)
Inequivalent atoms, fractional coordinates:
Zr 0.0000 0.0000 0.0000 x4  6 O 2.06-2.17
Cd 0.0000 0.3091 0.2500 x4  5 O 2.28-2.40
As 0.0000 0.3310 0.7500 x4  4 O 1.78-1.90
O 0.0000 0.0495 0.2500 x4  2 Zr 2.06, 1 Cd 2.28
O 0.0367 0.2427 0.5545 x8  1 As 1.90
O 0.1867 0.4707 0.8598 x8  1 As 1.78

=====

(3)
Compound: CdAsOs2
Source: the Alexandria database
Functional: PBE
Structure: relaxed

Properties
Mass density: 14.45 Mg/m³
Offset from the most stable computed form: 304 meV/atom
M_tot: 0.000 μB per atom
ΔH_f (0 K): 0.578 eV per atom

Lattice parameters (Å, degrees): 2.9712 3.9958 5.6856 90.00 104.91 90.00
With the nearest neighbours (Å) after each atom.
Space group P2/m (No. 10)
Inequivalent atoms, fractional coordinates:
Cd 0.0000 0.0000 0.0000 x1  2 As 2.85, 8 Os 2.93, 2 Cd 2.97
As 0.5000 0.0000 0.5000 x1  4 Os 2.44
Os 0.3631 0.5000 0.7189 x2  2 As 2.44

=====

(4)
Compound: CdAs2Os
Source: the Alexandria database
Functional: PBE
Structure: relaxed

Properties
Mass density: 7.21 Mg/m³
M_tot: 0.000 μB per atom
ΔH_f (0 K): 0.306 eV per atom

Lattice parameters (Å, degrees): 5.2454 3.9406 5.3690 90.00 110.03 90.00
With the nearest neighbours (Å) after each atom.
Space group P2/m (No. 10)
Inequivalent atoms, fractional coordinates:
Cd 0.0000 0.0000 0.0000 x1  2 Os 2.68
As 0.2864 0.5000 0.5447 x2  2 Os 2.44, 1 As 2.45
Os 0.0000 0.0000 0.5000 x1  4 As 2.44, 2 Cd 2.68

=====

(5)
Compound: CdAs2Os
Source: the Alexandria database
Functional: PBE
Structure: relaxed

Properties
Mass density: 9.33 Mg/m³
M_tot: 0.000 μB per atom
ΔH_f (0 K): 0.114 eV per atom

Lattice parameters (Å, degrees): 8.6031 3.0641 6.5525 90.00 111.20 90.00
With the nearest neighbours (Å) after each atom.
Space group Cm (No. 8)
Inequivalent atoms, fractional coordinates:
Cd 0.0000 0.0000 0.0000 x2  4 As 2.74-3.07, 2 Os 3.03, 2 Cd 3.06
As 0.1974 0.0000 0.7519 x2  2 Os 2.52, 1 Cd 2.74
As 0.3400 0.0000 0.3760 x2  3 Os 2.43-2.46
Os 0.1374 0.5000 0.4268 x2  5 As 2.43-2.52

=====

(6)
Compound: CdAsOs2
Source: the Alexandria database
Functional: PBE
Structure: relaxed

Properties
Mass density: 13.34 Mg/m³
Offset from the most stable computed form: 0 meV/atom
M_tot: 0.000 μB per atom
ΔH_f (0 K): 0.275 eV per atom

Lattice parameters (Å, degrees): 2.8371 2.8684 8.6868 90.00 90.23 90.00
With the nearest neighbours (Å) after each atom.
Space group Pm (No. 6)
Inequivalent atoms, fractional coordinates:
Cd 0.0000 0.0000 0.0000 x1  4 Cd 2.84-2.87, 4 Os 2.94, 2 As 3.08
As 0.0138 0.5000 0.6856 x1  2 Os 2.61, 4 As 2.84-2.87
Os 0.0063 0.0000 0.4341 x1  8 Os 2.59-2.87, 2 As 2.61
Os 0.5040 0.5000 0.2465 x1  8 Os 2.59-2.87

=====

M_tot of number 4 (CdAs2Os)?
0.000 μB per atom

=====

Number 2 is which compound?
ZrCdAsO5

=====

Which of these has the highest mass density?
number 3

=====

Look up the M_tot of the third one.
0.000 μB per atom